Computed, not measured: crystalline Dy2PaMnC4 at its relaxed geometry at the GGA-PBE level of DFT.

Results
Final energy in eV per atom: -8.1669
SG: Cmcm
Volume in Å³/atom: 14.69

Cell: 5.990 5.990 11.927 Å, 90.00 90.00 146.67°
Positions (direct):
Dy: 0.133 0.867 0.546
Dy: 0.133 0.867 0.954
Dy: 0.867 0.133 0.046
Dy: 0.867 0.133 0.454
Pa: 0.412 0.588 0.750
Pa: 0.588 0.412 0.250
Mn: 0.328 0.672 0.250
Mn: 0.672 0.328 0.750
C: 0.076 0.924 0.750
C: 0.225 0.775 0.139
C: 0.225 0.775 0.361
C: 0.500 0.500 0.000
C: 0.500 0.500 0.500
C: 0.775 0.225 0.639
C: 0.775 0.225 0.861
C: 0.924 0.076 0.250



Computed, not measured: crystalline ScTa2Te at its relaxed geometry at the GGA-PBE level of DFT.

Results
Formation energy without anion corrections in eV per atom: 0.058
SG: Cmm2
Polymorph energy (0 for the lowest one) in eV per atom: 0.179
Volume in Å³/atom: 20.83

Cell: 3.172 3.172 8.838 Å, 90.00 90.00 110.51°
Positions (direct):
Sc: 0.000 0.000 0.000
Ta: 0.000 0.000 0.491
Ta: 0.500 0.500 0.261
Te: 0.500 0.500 0.743



Computed, not measured: crystalline Hf2Cu2Te at its relaxed geometry at the GGA-PBE level of DFT.

Results
Formation energy without anion corrections in eV per atom: -0.027
SG: P4/mbm
Polymorph energy (0 for the lowest one) in eV per atom: 0.103
Volume in Å³/atom: 19.93

Cell: 7.372 7.372 3.667 Å, 90.00 90.00 90.00°
Positions (direct):
Hf: 0.158 0.342 0.000
Hf: 0.342 0.842 0.000
Hf: 0.658 0.158 0.000
Hf: 0.842 0.658 0.000
Cu: 0.125 0.625 0.500
Cu: 0.375 0.125 0.500
Cu: 0.625 0.875 0.500
Cu: 0.875 0.375 0.500
Te: 0.000 0.000 0.000
Te: 0.500 0.500 0.000



Computed, not measured: crystalline NaZrSi2C at its relaxed geometry at the GGA-PBE level of DFT.

Results
Formation energy without anion corrections in eV per atom: 0.961
SG: P4/mmm
Volume in Å³/atom: 23.54

Cell: 5.153 5.153 4.433 Å, 90.00 90.00 90.00°
Positions (direct):
Na: 0.000 0.000 0.000
Zr: 0.500 0.500 0.500
Si: 0.000 0.500 0.500
Si: 0.500 0.000 0.500
C: 0.500 0.500 0.000



Computed, not measured: crystalline La3Cd7Ag2 at its relaxed geometry at the GGA-PBE level of DFT.

Results
Final energy in eV per atom: -2.5140
SG: R-3m
Volume in Å³/atom: 25.04

Cell: 10.252 10.252 10.252 Å, 34.01 34.01 34.01°
Positions (direct):
La: 0.000 0.000 0.000
La: 0.144 0.144 0.144
La: 0.856 0.856 0.856
Cd: 0.077 0.584 0.584
Cd: 0.416 0.416 0.923
Cd: 0.416 0.923 0.416
Cd: 0.500 0.500 0.500
Cd: 0.584 0.077 0.584
Cd: 0.584 0.584 0.077
Cd: 0.923 0.416 0.416
Ag: 0.335 0.335 0.335
Ag: 0.665 0.665 0.665



Computed, not measured: crystalline Pr2AgHgRh at its relaxed geometry at the GGA-PBE level of DFT.

Results
Final energy in eV per atom: -4.4720
SG: P2_1/m
Volume in Å³/atom: 25.72

Cell: 8.231 4.111 8.284 Å, 90.00 113.40 90.00°
Positions (direct):
Pr: 0.001 0.250 0.206
Pr: 0.354 0.750 0.630
Pr: 0.646 0.250 0.370
Pr: 0.999 0.750 0.794
Ag: 0.357 0.250 0.949
Ag: 0.643 0.750 0.051
Hg: 0.311 0.750 0.200
Hg: 0.689 0.250 0.800
Rh: 0.095 0.250 0.600
Rh: 0.905 0.750 0.400



Computed, not measured: crystalline La3HoPu3Se8 at its relaxed geometry at the GGA-PBE level of DFT.

Results
Formation energy without anion corrections in eV per atom: -1.790
SG: R-3m
Volume in Å³/atom: 28.26

Cell: 8.481 8.481 8.481 Å, 59.25 59.25 59.25°
Positions (direct):
La: 0.000 0.500 0.500
La: 0.500 0.000 0.500
La: 0.500 0.500 0.000
Ho: 0.500 0.500 0.500
Pu: 0.000 0.000 0.500
Pu: 0.000 0.500 0.000
Pu: 0.500 0.000 0.000
Se: 0.246 0.246 0.246
Se: 0.250 0.744 0.744
Se: 0.256 0.256 0.750
Se: 0.256 0.750 0.256
Se: 0.744 0.250 0.744
Se: 0.744 0.744 0.250
Se: 0.750 0.256 0.256
Se: 0.754 0.754 0.754



Computed, not measured: crystalline Li14InGa at its relaxed geometry at the GGA-PBE level of DFT.

Results
Final energy in eV per atom: -2.1256
SG: Amm2
Volume in Å³/atom: 18.65

Cell: 9.666 5.788 5.788 Å, 67.16 90.00 90.00°
Positions (direct):
Li: 0.000 0.000 0.000
Li: 0.000 0.487 0.487
Li: 0.000 0.502 0.979
Li: 0.000 0.979 0.502
Li: 0.254 0.203 0.203
Li: 0.259 0.177 0.707
Li: 0.259 0.707 0.177
Li: 0.266 0.685 0.685
Li: 0.500 0.416 0.933
Li: 0.500 0.933 0.416
Li: 0.734 0.685 0.685
Li: 0.741 0.177 0.707
Li: 0.741 0.707 0.177
Li: 0.746 0.203 0.203
In: 0.500 0.429 0.429
Ga: 0.500 0.919 0.919